[1]
Mg8Cu2Au | PBE | relaxed

Summary:
SG: C2/m
Final energy in eV/atom: -2.37
ΔH_f (0 K) in eV/atom: -0.167
Calculated volume in Å³/cell: 212.5

Unit cell a=7.9752 b=7.9752 c=6.6530 alpha=112.17 beta=112.17 gamma=33.11
With the nearest neighbours (Å) after each atom.
Fractional positions:
Mg (0.0253, 0.0253, 0.2690)  1 Cu 2.69, 2 Au 2.85, 2 Mg 2.98
Mg (0.1880, 0.1880, 0.7759)  3 Cu 2.69-2.96, 2 Mg 3.00-3.01
Mg (0.3285, 0.3285, 0.5607)  3 Cu 2.67-2.92, 1 Au 2.81, 1 Mg 2.99
Mg (0.3975, 0.3975, 0.0483)  2 Cu 2.72, 1 Au 2.79, 4 Mg 2.98-3.00
Mg (0.6025, 0.6025, 0.9517)  2 Cu 2.72, 1 Au 2.79, 4 Mg 2.98-3.00
Mg (0.6715, 0.6715, 0.4393)  3 Cu 2.67-2.92, 1 Au 2.81, 1 Mg 2.99
Mg (0.8120, 0.8120, 0.2241)  3 Cu 2.69-2.96, 2 Mg 3.00-3.01
Mg (0.9747, 0.9747, 0.7310)  1 Cu 2.69, 2 Au 2.85, 2 Mg 2.98
Cu (0.1809, 0.1809, 0.1738)  9 Mg 2.67-2.96
Cu (0.8191, 0.8191, 0.8262)  9 Mg 2.67-2.96
Au (0.5000, 0.5000, 0.5000)  8 Mg 2.79-2.85

[2]
Na2YSn3Te6 | PBE | relaxed

Summary:
SG: C2/m
Final energy in eV/atom: -4.00
Calculated volume in Å³/cell: 387.6
Formation energy (no corrections) in eV per formula unit: -8.08

Unit cell a=7.7523 b=7.7523 c=7.8835 alpha=99.46 beta=99.46 gamma=119.99
With the nearest neighbours (Å) after each atom.
Fractional positions:
Na (0.1676, 0.8324, 0.0000)  6 Te 3.22-3.26
Na (0.8324, 0.1676, 0.0000)  6 Te 3.22-3.26
Y (0.5000, 0.5000, 0.0000)  6 Te 3.09-3.13
Sn (0.0000, 0.0000, 0.5000)  6 Te 3.14-3.24
Sn (0.3369, 0.6631, 0.5000)  6 Te 3.09-3.32
Sn (0.6631, 0.3369, 0.5000)  6 Te 3.09-3.32
Te (0.0976, 0.4159, 0.7519)  1 Y 3.09, 3 Sn 3.14-3.32, 2 Na 3.22
Te (0.2644, 0.2644, 0.2559)  3 Sn 3.09-3.24, 1 Y 3.13, 2 Na 3.26
Te (0.4159, 0.0976, 0.7519)  1 Y 3.09, 3 Sn 3.14-3.32, 2 Na 3.22
Te (0.5841, 0.9024, 0.2481)  1 Y 3.09, 3 Sn 3.14-3.32, 2 Na 3.22
Te (0.7356, 0.7356, 0.7441)  3 Sn 3.09-3.24, 1 Y 3.13, 2 Na 3.26
Te (0.9024, 0.5841, 0.2481)  1 Y 3.09, 3 Sn 3.14-3.32, 2 Na 3.22

[3]
LaTcP2 | PBE | relaxed

Summary:
SG: Cm
Final energy in eV/atom: -7.02
ΔH_f (0 K) in eV/atom: -0.488
Calculated volume in Å³/cell: 76.8

Unit cell a=4.7649 b=4.7649 c=5.4007 alpha=104.26 beta=104.26 gamma=40.45
With the nearest neighbours (Å) after each atom.
Fractional positions:
La (0.0000, 0.0000, 0.0000)  7 P 2.89-3.20
Tc (0.7729, 0.7729, 0.4161)  4 P 2.36-2.50
P (0.2209, 0.2209, 0.6941)  2 Tc 2.36, 2 P 2.62
P (0.4915, 0.4915, 0.5034)  3 Tc 2.50-2.68, 2 P 2.62

[4]
LiNbZn | PBE | relaxed

Summary:
SG: Pmm2
Final energy in eV/atom: -4.36
ΔH_f (0 K) in eV/atom: 0.062
Calculated volume in Å³/cell: 97.8

Unit cell a=2.6311 b=4.4859 c=8.2894 alpha=90.00 beta=90.00 gamma=90.00
With the nearest neighbours (Å) after each atom.
Fractional positions:
Li (0.0000, 0.0000, 0.0000)  4 Li 2.63-2.66, 6 Zn 2.82-2.83
Li (0.0000, 0.5000, 0.1718)  4 Li 2.63-2.66, 2 Zn 2.83
Nb (0.0000, 0.5000, 0.5414)  2 Nb 2.63, 4 Zn 2.91
Nb (0.5000, 0.0000, 0.3589)  2 Nb 2.63, 1 Zn 2.81
Zn (0.5000, 0.0000, 0.6981)  4 Zn 2.63-2.65, 5 Nb 2.81-2.91, 2 Li 2.83
Zn (0.5000, 0.5000, 0.8692)  4 Zn 2.63-2.65, 6 Li 2.82-2.83

[5]
Hg12P3Br5 | PBE | relaxed

Summary:
SG: Ia-3d
Final energy in eV/atom: -1.29
Calculated volume in Å³/cell: 2808.8
Formation energy (no corrections) in eV per formula unit: 2.46

Unit cell a=15.3950 b=15.3950 c=15.3950 alpha=109.47 beta=109.47 gamma=109.47
With the nearest neighbours (Å) after each atom.
Fractional positions:
Hg (0.0391, 0.7209, 0.6521)  1 P 2.63
Hg (0.0391, 0.8182, 0.3870)  1 P 2.63
Hg (0.0688, 0.2209, 0.1818)  1 P 2.63
Hg (0.0688, 0.3479, 0.8870)  1 P 2.63
Hg (0.1130, 0.6818, 0.4609)  1 P 2.63
Hg (0.1130, 0.9312, 0.6521)  1 P 2.63
Hg (0.1521, 0.2209, 0.5391)  1 P 2.63
Hg (0.1521, 0.4312, 0.6130)  1 P 2.63
Hg (0.1818, 0.0688, 0.2209)  1 P 2.63
Hg (0.1818, 0.6130, 0.9609)  1 P 2.63
Hg (0.2209, 0.1818, 0.0688)  1 P 2.63
Hg (0.2209, 0.5391, 0.1521)  1 P 2.63
Hg (0.2791, 0.3479, 0.9609)  1 P 2.63
Hg (0.2791, 0.4312, 0.3182)  1 P 2.63
Hg (0.3182, 0.2791, 0.4312)  1 P 2.63
Hg (0.3182, 0.5391, 0.8870)  1 P 2.63
Hg (0.3479, 0.8870, 0.0688)  1 P 2.63
Hg (0.3479, 0.9609, 0.2791)  1 P 2.63
Hg (0.3870, 0.0391, 0.8182)  1 P 2.63
Hg (0.3870, 0.8479, 0.5688)  1 P 2.63
Hg (0.4312, 0.3182, 0.2791)  1 P 2.63
Hg (0.4312, 0.6130, 0.1521)  1 P 2.63
Hg (0.4609, 0.1130, 0.6818)  1 P 2.63
Hg (0.4609, 0.8479, 0.7791)  1 P 2.63
Hg (0.5391, 0.1521, 0.2209)  1 P 2.63
Hg (0.5391, 0.8870, 0.3182)  1 P 2.63
Hg (0.5688, 0.3870, 0.8479)  1 P 2.63
Hg (0.5688, 0.6818, 0.7209)  1 P 2.63
Hg (0.6130, 0.1521, 0.4312)  1 P 2.63
Hg (0.6130, 0.9609, 0.1818)  1 P 2.63
Hg (0.6521, 0.0391, 0.7209)  1 P 2.63
Hg (0.6521, 0.1130, 0.9312)  1 P 2.63
Hg (0.6818, 0.4609, 0.1130)  1 P 2.63
Hg (0.6818, 0.7209, 0.5688)  1 P 2.63
Hg (0.7209, 0.5688, 0.6818)  1 P 2.63
Hg (0.7209, 0.6521, 0.0391)  1 P 2.63
Hg (0.7791, 0.4609, 0.8479)  1 P 2.63
Hg (0.7791, 0.8182, 0.9312)  1 P 2.63
Hg (0.8182, 0.3870, 0.0391)  1 P 2.63
Hg (0.8182, 0.9312, 0.7791)  1 P 2.63
Hg (0.8479, 0.5688, 0.3870)  1 P 2.63
Hg (0.8479, 0.7791, 0.4609)  1 P 2.63
Hg (0.8870, 0.0688, 0.3479)  1 P 2.63
Hg (0.8870, 0.3182, 0.5391)  1 P 2.63
Hg (0.9312, 0.6521, 0.1130)  1 P 2.63
Hg (0.9312, 0.7791, 0.8182)  1 P 2.63
Hg (0.9609, 0.1818, 0.6130)  1 P 2.63
Hg (0.9609, 0.2791, 0.3479)  1 P 2.63
P (0.1250, 0.2500, 0.3750)  4 Hg 2.63
P (0.1250, 0.3750, 0.7500)  4 Hg 2.63
P (0.2500, 0.3750, 0.1250)  4 Hg 2.63
P (0.2500, 0.8750, 0.6250)  4 Hg 2.63
P (0.3750, 0.1250, 0.2500)  4 Hg 2.63
P (0.3750, 0.7500, 0.1250)  4 Hg 2.63
P (0.6250, 0.2500, 0.8750)  4 Hg 2.63
P (0.6250, 0.8750, 0.7500)  4 Hg 2.63
P (0.7500, 0.1250, 0.3750)  4 Hg 2.63
P (0.7500, 0.6250, 0.8750)  4 Hg 2.63
P (0.8750, 0.6250, 0.2500)  4 Hg 2.63
P (0.8750, 0.7500, 0.6250)  4 Hg 2.63
Br (0.0000, 0.0000, 0.0000)  6 Hg 3.13
Br (0.0000, 0.0000, 0.5000)  6 Hg 3.13
Br (0.0000, 0.5000, 0.0000)  6 Hg 3.13
Br (0.0000, 0.5000, 0.5000)  6 Hg 3.13
Br (0.1250, 0.7500, 0.8750)  4 Hg 3.05
Br (0.1250, 0.8750, 0.2500)  4 Hg 3.05
Br (0.2500, 0.1250, 0.8750)  4 Hg 3.05
Br (0.2500, 0.6250, 0.3750)  4 Hg 3.05
Br (0.3750, 0.2500, 0.6250)  4 Hg 3.05
Br (0.3750, 0.6250, 0.7500)  4 Hg 3.05
Br (0.5000, 0.0000, 0.0000)  6 Hg 3.13
Br (0.5000, 0.0000, 0.5000)  6 Hg 3.13
Br (0.5000, 0.5000, 0.0000)  6 Hg 3.13
Br (0.5000, 0.5000, 0.5000)  6 Hg 3.13
Br (0.6250, 0.3750, 0.2500)  4 Hg 3.05
Br (0.6250, 0.7500, 0.3750)  4 Hg 3.05
Br (0.7500, 0.3750, 0.6250)  4 Hg 3.05
Br (0.7500, 0.8750, 0.1250)  4 Hg 3.05
Br (0.8750, 0.1250, 0.7500)  4 Hg 3.05
Br (0.8750, 0.2500, 0.1250)  4 Hg 3.05

[6]
Na2CdH | PBE | relaxed

Summary:
SG: Cm
Final energy in eV/atom: -1.81
Calculated volume in Å³/cell: 80.7

Unit cell a=3.3229 b=3.3229 c=8.5192 alpha=101.04 beta=101.04 gamma=61.62
With the nearest neighbours (Å) after each atom.
Fractional positions:
Na (0.0000, 0.0000, 0.0000)  3 H 2.39-2.43
Na (0.2176, 0.2176, 0.6535)  3 H 2.39-2.42
Cd (0.4508, 0.4508, 0.3259)  6 Na 3.32-3.35, 6 Cd 3.32-3.40
H (0.6092, 0.6092, 0.8259)  6 Na 2.39-2.43

[7]
NaAgGe2Cl6 | PBE | relaxed

Summary:
SG: C2/c
Final energy in eV/atom: -3.36
Calculated volume in Å³/cell: 596.7
Formation energy (no corrections) in eV per formula unit: -9.07

Unit cell a=9.5196 b=9.5196 c=7.3833 alpha=105.64 beta=105.64 gamma=100.45
With the nearest neighbours (Å) after each atom.
Fractional positions:
Na (0.0921, 0.9079, 0.7500)  6 Cl 2.81-3.15
Na (0.9079, 0.0921, 0.2500)  6 Cl 2.81-3.15
Ag (0.2010, 0.7990, 0.2500)  4 Cl 2.54-2.72
Ag (0.7990, 0.2010, 0.7500)  4 Cl 2.54-2.72
Ge (0.2586, 0.4627, 0.8277)  3 Cl 2.32-2.53
Ge (0.4627, 0.2586, 0.3277)  3 Cl 2.32-2.53
Ge (0.5373, 0.7414, 0.6723)  3 Cl 2.32-2.53
Ge (0.7414, 0.5373, 0.1723)  3 Cl 2.32-2.53
Cl (0.0608, 0.2091, 0.6644)  1 Ge 2.53, 1 Ag 2.72, 1 Na 2.81
Cl (0.1002, 0.6312, 0.8846)  1 Ge 2.42, 1 Ag 2.54
Cl (0.2091, 0.0608, 0.1644)  1 Ge 2.53, 1 Ag 2.72, 1 Na 2.81
Cl (0.2544, 0.4798, 0.5182)  1 Ge 2.32
Cl (0.3688, 0.8998, 0.6154)  1 Ge 2.42, 1 Ag 2.54
Cl (0.4798, 0.2544, 0.0182)  1 Ge 2.32
Cl (0.5202, 0.7456, 0.9818)  1 Ge 2.32
Cl (0.6312, 0.1002, 0.3846)  1 Ge 2.42, 1 Ag 2.54
Cl (0.7456, 0.5202, 0.4818)  1 Ge 2.32
Cl (0.7909, 0.9392, 0.8356)  1 Ge 2.53, 1 Ag 2.72, 1 Na 2.81
Cl (0.8998, 0.3688, 0.1154)  1 Ge 2.42, 1 Ag 2.54
Cl (0.9392, 0.7909, 0.3356)  1 Ge 2.53, 1 Ag 2.72, 1 Na 2.81

[8]
Na2SnPd4 | PBE | relaxed

Summary:
SG: Cmmm
Final energy in eV/atom: -4.00
ΔH_f (0 K) in eV/atom: -0.082
Calculated volume in Å³/cell: 158.2

Unit cell a=7.0589 b=7.0589 c=4.5773 alpha=90.00 beta=90.00 gamma=136.07
With the nearest neighbours (Å) after each atom.
Fractional positions:
Na (0.1504, 0.8496, 0.0000)  4 Pd 2.71-2.92
Na (0.8496, 0.1504, 0.0000)  4 Pd 2.71-2.92
Sn (0.5000, 0.5000, 0.5000)  6 Pd 2.66-2.77
Pd (0.2886, 0.7114, 0.5000)  4 Pd 2.69-2.83, 1 Sn 2.77, 2 Na 2.92
Pd (0.3966, 0.6034, 0.0000)  2 Sn 2.66, 3 Pd 2.69-2.71, 2 Na 2.71
Pd (0.6034, 0.3966, 0.0000)  2 Sn 2.66, 3 Pd 2.69-2.71, 2 Na 2.71
Pd (0.7114, 0.2886, 0.5000)  4 Pd 2.69-2.83, 1 Sn 2.77, 2 Na 2.92